[1]
DFT (GGA-PBE) results for a geometry-optimized Pm5Nd3Y structure.

Calculated values
**DFT formation energy**: 2.5 eV per formula unit
**Distance to the lowest polymorph of the same formula**: 0 meV/atom
**Total moment**: 0.00 Bohr magnetons per cell

Geometry as CIF:
```
data_Pm5Nd3Y
_chemical_formula_sum 'Pm10 Nd6 Y2'
_cell_length_a 10.775
_cell_length_b 10.775
_cell_length_c 11.752
_cell_angle_alpha 121.03
_cell_angle_beta 121.03
_cell_angle_gamma 33.97
_symmetry_space_group_name_H-M 'P 1'
_symmetry_Int_Tables_number 1
_symmetry_space_group_name_Hall 'P 1'
loop_
_atom_site_label
_atom_site_fract_x
_atom_site_fract_y
_atom_site_fract_z
Pm1 0.043 0.676 0.348
Pm2 0.071 0.929 0.750
Pm3 0.127 0.517 0.667
Pm4 0.324 0.957 0.152
Pm5 0.483 0.873 0.833
Pm6 0.517 0.127 0.167
Pm7 0.676 0.043 0.848
Pm8 0.873 0.483 0.333
Pm9 0.929 0.071 0.250
Pm10 0.957 0.324 0.652
Nd1 0.094 0.549 0.973
Nd2 0.451 0.906 0.527
Nd3 0.500 0.500 0.000
Nd4 0.500 0.500 0.500
Nd5 0.549 0.094 0.473
Nd6 0.906 0.451 0.027
Y1 0.417 0.583 0.250
Y2 0.583 0.417 0.750
```

=====

[2]
DFT (GGA-PBE) results for a geometry-optimized Pm12Nd7Y structure.

Calculated values
**DFT formation energy**: 4.4 eV per formula unit
**Distance to the lowest polymorph of the same formula**: 0 meV/atom
**Total moment**: 0.00 Bohr magnetons per cell

Geometry as CIF:
```
data_Pm12Nd7Y
_chemical_formula_sum 'Pm12 Nd7 Y1'
_cell_length_a 8.925
_cell_length_b 8.925
_cell_length_c 8.925
_cell_angle_alpha 87.01
_cell_angle_beta 87.01
_cell_angle_gamma 87.01
_symmetry_space_group_name_H-M 'P 1'
_symmetry_Int_Tables_number 1
_symmetry_space_group_name_Hall 'P 1'
loop_
_atom_site_label
_atom_site_fract_x
_atom_site_fract_y
_atom_site_fract_z
Pm1 0.007 0.884 0.365
Pm2 0.116 0.635 0.993
Pm3 0.225 0.353 0.753
Pm4 0.247 0.775 0.647
Pm5 0.353 0.753 0.225
Pm6 0.365 0.007 0.884
Pm7 0.635 0.993 0.116
Pm8 0.647 0.247 0.775
Pm9 0.753 0.225 0.353
Pm10 0.775 0.647 0.247
Pm11 0.884 0.365 0.007
Pm12 0.993 0.116 0.635
Nd1 0.000 0.000 0.000
Nd2 0.104 0.423 0.349
Nd3 0.349 0.104 0.423
Nd4 0.423 0.349 0.104
Nd5 0.577 0.651 0.896
Nd6 0.651 0.896 0.577
Nd7 0.896 0.577 0.651
Y1 0.500 0.500 0.500
```

=====

[3]
DFT (GGA-PBE) results for a geometry-optimized Pm3NdY6 structure.

Calculated values
**DFT formation energy**: 1.4 eV per formula unit
**Distance to the lowest polymorph of the same formula**: 0 meV/atom
**Total moment**: 0.00 Bohr magnetons per cell

Geometry as CIF:
```
data_Pm3NdY6
_chemical_formula_sum 'Pm6 Nd2 Y12'
_cell_length_a 10.982
_cell_length_b 10.982
_cell_length_c 6.418
_cell_angle_alpha 90.00
_cell_angle_beta 90.00
_cell_angle_gamma 119.73
_symmetry_space_group_name_H-M 'P 1'
_symmetry_Int_Tables_number 1
_symmetry_space_group_name_Hall 'P 1'
loop_
_atom_site_label
_atom_site_fract_x
_atom_site_fract_y
_atom_site_fract_z
Pm1 0.112 0.888 0.500
Pm2 0.208 0.435 0.890
Pm3 0.435 0.208 0.390
Pm4 0.565 0.792 0.890
Pm5 0.792 0.565 0.390
Pm6 0.888 0.112 0.000
Nd1 0.305 0.695 0.572
Nd2 0.695 0.305 0.072
Y1 0.030 0.446 0.303
Y2 0.122 0.211 0.478
Y3 0.211 0.122 0.978
Y4 0.230 0.770 0.090
Y5 0.446 0.030 0.803
Y6 0.459 0.541 0.299
Y7 0.541 0.459 0.799
Y8 0.554 0.970 0.303
Y9 0.770 0.230 0.590
Y10 0.789 0.878 0.478
Y11 0.878 0.789 0.978
Y12 0.970 0.554 0.803
```

=====

[4]
DFT (GGA-PBE) results for a geometry-optimized Pm5Nd5Y2 structure.

Calculated values
**DFT formation energy**: 0.2 eV per formula unit
**Total moment**: 0.00 Bohr magnetons per cell

Geometry as CIF:
```
data_Pm5Nd5Y2
_chemical_formula_sum 'Pm5 Nd5 Y2'
_cell_length_a 8.172
_cell_length_b 8.172
_cell_length_c 11.547
_cell_angle_alpha 115.10
_cell_angle_beta 115.10
_cell_angle_gamma 36.83
_symmetry_space_group_name_H-M 'P 1'
_symmetry_Int_Tables_number 1
_symmetry_space_group_name_Hall 'P 1'
loop_
_atom_site_label
_atom_site_fract_x
_atom_site_fract_y
_atom_site_fract_z
Pm1 0.000 0.000 0.000
Pm2 0.083 0.083 0.749
Pm3 0.167 0.167 0.500
Pm4 0.833 0.833 0.500
Pm5 0.917 0.917 0.251
Nd1 0.249 0.249 0.250
Nd2 0.334 0.334 0.000
Nd3 0.500 0.500 0.500
Nd4 0.666 0.666 0.000
Nd5 0.751 0.751 0.750
Y1 0.416 0.416 0.749
Y2 0.584 0.584 0.251
```

=====

[5]
DFT (GGA-PBE) results for a geometry-optimized Pm3NdY3 structure.

Calculated values
**DFT formation energy**: 1.5 eV per formula unit
**Distance to the lowest polymorph of the same formula**: 0 meV/atom
**Total moment**: 0.00 Bohr magnetons per cell

Geometry as CIF:
```
data_Pm3NdY3
_chemical_formula_sum 'Pm6 Nd2 Y6'
_cell_length_a 8.961
_cell_length_b 8.961
_cell_length_c 8.961
_cell_angle_alpha 58.63
_cell_angle_beta 58.63
_cell_angle_gamma 58.63
_symmetry_space_group_name_H-M 'P 1'
_symmetry_Int_Tables_number 1
_symmetry_space_group_name_Hall 'P 1'
loop_
_atom_site_label
_atom_site_fract_x
_atom_site_fract_y
_atom_site_fract_z
Pm1 0.068 0.220 0.569
Pm2 0.220 0.569 0.068
Pm3 0.431 0.932 0.780
Pm4 0.569 0.068 0.220
Pm5 0.780 0.431 0.932
Pm6 0.932 0.780 0.431
Nd1 0.155 0.155 0.155
Nd2 0.845 0.845 0.845
Y1 0.213 0.437 0.673
Y2 0.327 0.787 0.563
Y3 0.437 0.673 0.213
Y4 0.563 0.327 0.787
Y5 0.673 0.213 0.437
Y6 0.787 0.563 0.327
```

=====

[6]
DFT (GGA-PBE) results for a geometry-optimized Pm3Nd5Y structure.

Calculated values
**DFT formation energy**: 3.4 eV per formula unit
**Total moment**: 0.00 Bohr magnetons per cell

Geometry as CIF:
```
data_Pm3Nd5Y
_chemical_formula_sum 'Pm6 Nd10 Y2'
_cell_length_a 9.509
_cell_length_b 9.509
_cell_length_c 12.557
_cell_angle_alpha 126.70
_cell_angle_beta 126.70
_cell_angle_gamma 52.64
_symmetry_space_group_name_H-M 'P 1'
_symmetry_Int_Tables_number 1
_symmetry_space_group_name_Hall 'P 1'
loop_
_atom_site_label
_atom_site_fract_x
_atom_site_fract_y
_atom_site_fract_z
Pm1 0.000 0.000 0.000
Pm2 0.000 0.000 0.500
Pm3 0.157 0.157 0.349
Pm4 0.294 0.294 0.695
Pm5 0.706 0.706 0.305
Pm6 0.843 0.843 0.651
Nd1 0.093 0.483 0.226
Nd2 0.317 0.683 0.000
Nd3 0.363 0.363 0.054
Nd4 0.441 0.441 0.581
Nd5 0.483 0.093 0.226
Nd6 0.517 0.907 0.774
Nd7 0.559 0.559 0.419
Nd8 0.637 0.637 0.946
Nd9 0.683 0.317 0.000
Nd10 0.907 0.517 0.774
Y1 0.112 0.112 0.872
Y2 0.888 0.888 0.128
```

=====

[7]
DFT (GGA-PBE) results for a geometry-optimized PmNdY6 structure.

Calculated values
**DFT formation energy**: 3.0 eV per formula unit
**Distance to the lowest polymorph of the same formula**: 227 meV/atom
**Total moment**: 0.00 Bohr magnetons per cell

Geometry as CIF:
```
data_PmNdY6
_chemical_formula_sum 'Pm2 Nd2 Y12'
_cell_length_a 10.082
_cell_length_b 6.865
_cell_length_c 8.665
_cell_angle_alpha 90.00
_cell_angle_beta 104.77
_cell_angle_gamma 90.00
_symmetry_space_group_name_H-M 'P 1'
_symmetry_Int_Tables_number 1
_symmetry_space_group_name_Hall 'P 1'
loop_
_atom_site_label
_atom_site_fract_x
_atom_site_fract_y
_atom_site_fract_z
Pm1 0.000 0.000 0.000
Pm2 0.500 0.500 0.000
Nd1 0.000 0.000 0.500
Nd2 0.500 0.500 0.500
Y1 0.129 0.500 0.428
Y2 0.197 0.260 0.800
Y3 0.197 0.740 0.800
Y4 0.303 0.240 0.200
Y5 0.303 0.760 0.200
Y6 0.371 0.000 0.572
Y7 0.629 0.000 0.428
Y8 0.697 0.240 0.800
Y9 0.697 0.760 0.800
Y10 0.803 0.260 0.200
Y11 0.803 0.740 0.200
Y12 0.871 0.500 0.572
```

=====

[8]
DFT (GGA-PBE) results for a geometry-optimized Pm5NdY5 structure.

Calculated values
**DFT formation energy**: 3.4 eV per formula unit
**Distance to the lowest polymorph of the same formula**: 14 meV/atom
**Total moment**: 0.00 Bohr magnetons per cell

Geometry as CIF:
```
data_Pm5NdY5
_chemical_formula_sum 'Pm5 Nd1 Y5'
_cell_length_a 6.150
_cell_length_b 6.150
_cell_length_c 11.894
_cell_angle_alpha 90.00
_cell_angle_beta 90.00
_cell_angle_gamma 120.00
_symmetry_space_group_name_H-M 'P 1'
_symmetry_Int_Tables_number 1
_symmetry_space_group_name_Hall 'P 1'
loop_
_atom_site_label
_atom_site_fract_x
_atom_site_fract_y
_atom_site_fract_z
Pm1 0.000 0.000 0.000
Pm2 0.333 0.667 0.318
Pm3 0.333 0.667 0.682
Pm4 0.667 0.333 0.154
Pm5 0.667 0.333 0.846
Nd1 0.333 0.667 0.000
Y1 0.000 0.000 0.263
Y2 0.000 0.000 0.737
Y3 0.333 0.167 0.500
Y4 0.833 0.167 0.500
Y5 0.833 0.667 0.500
```

=====

[9]
DFT (GGA-PBE) results for a geometry-optimized Pm2Nd7Y structure.

Calculated values
**DFT formation energy**: 6.2 eV per formula unit
**Total moment**: 0.00 Bohr magnetons per cell

Geometry as CIF:
```
data_Pm2Nd7Y
_chemical_formula_sum 'Pm2 Nd7 Y1'
_cell_length_a 9.599
_cell_length_b 9.599
_cell_length_c 5.536
_cell_angle_alpha 90.00
_cell_angle_beta 90.00
_cell_angle_gamma 125.51
_symmetry_space_group_name_H-M 'P 1'
_symmetry_Int_Tables_number 1
_symmetry_space_group_name_Hall 'P 1'
loop_
_atom_site_label
_atom_site_fract_x
_atom_site_fract_y
_atom_site_fract_z
Pm1 0.205 0.795 0.000
Pm2 0.795 0.205 0.000
Nd1 0.000 0.000 0.000
Nd2 0.209 0.430 0.000
Nd3 0.287 0.713 0.500
Nd4 0.430 0.209 0.000
Nd5 0.570 0.791 0.000
Nd6 0.713 0.287 0.500
Nd7 0.791 0.570 0.000
Y1 0.500 0.500 0.500
```

=====

[10]
DFT (GGA-PBE) results for a geometry-optimized Pm3Nd2Y structure.

Calculated values
**DFT formation energy**: 0.3 eV per formula unit
**Distance to the lowest polymorph of the same formula**: 0 meV/atom
**Total moment**: 0.00 Bohr magnetons per cell

Geometry as CIF:
```
data_Pm3Nd2Y
_chemical_formula_sum 'Pm6 Nd4 Y2'
_cell_length_a 9.172
_cell_length_b 9.172
_cell_length_c 9.987
_cell_angle_alpha 122.95
_cell_angle_beta 122.95
_cell_angle_gamma 36.59
_symmetry_space_group_name_H-M 'P 1'
_symmetry_Int_Tables_number 1
_symmetry_space_group_name_Hall 'P 1'
loop_
_atom_site_label
_atom_site_fract_x
_atom_site_fract_y
_atom_site_fract_z
Pm1 0.001 0.001 0.170
Pm2 0.251 0.251 0.087
Pm3 0.376 0.376 0.879
Pm4 0.624 0.624 0.121
Pm5 0.749 0.749 0.913
Pm6 0.999 0.999 0.830
Nd1 0.251 0.251 0.422
Nd2 0.499 0.499 0.664
Nd3 0.501 0.501 0.336
Nd4 0.749 0.749 0.578
Y1 0.125 0.125 0.628
Y2 0.875 0.875 0.372
```

=====

[11]
DFT (GGA-PBE) results for a geometry-optimized Pm2Nd2Y3 structure.

Calculated values
**DFT formation energy**: 0.1 eV per formula unit
**Distance to the lowest polymorph of the same formula**: 0 meV/atom
**Total moment**: 0.00 Bohr magnetons per cell

Geometry as CIF:
```
data_Pm2Nd2Y3
_chemical_formula_sum 'Pm2 Nd2 Y3'
_cell_length_a 6.268
_cell_length_b 6.280
_cell_length_c 6.293
_cell_angle_alpha 99.88
_cell_angle_beta 99.78
_cell_angle_gamma 99.33
_symmetry_space_group_name_H-M 'P 1'
_symmetry_Int_Tables_number 1
_symmetry_space_group_name_Hall 'P 1'
loop_
_atom_site_label
_atom_site_fract_x
_atom_site_fract_y
_atom_site_fract_z
Pm1 0.215 0.429 0.356
Pm2 0.785 0.571 0.644
Nd1 0.071 0.143 0.785
Nd2 0.929 0.857 0.215
Y1 0.358 0.715 0.928
Y2 0.500 0.000 0.500
Y3 0.642 0.285 0.072
```

=====

[12]
DFT (GGA-PBE) results for a geometry-optimized Pm12NdY5 structure.

Calculated values
**DFT formation energy**: 1.4 eV per formula unit
**Total moment**: 0.00 Bohr magnetons per cell

Geometry as CIF:
```
data_Pm12NdY5
_chemical_formula_sum 'Pm12 Nd1 Y5'
_cell_length_a 10.490
_cell_length_b 10.490
_cell_length_c 5.856
_cell_angle_alpha 90.07
_cell_angle_beta 90.07
_cell_angle_gamma 109.00
_symmetry_space_group_name_H-M 'P 1'
_symmetry_Int_Tables_number 1
_symmetry_space_group_name_Hall 'P 1'
loop_
_atom_site_label
_atom_site_fract_x
_atom_site_fract_y
_atom_site_fract_z
Pm1 0.027 0.670 0.994
Pm2 0.169 0.528 0.505
Pm3 0.203 0.203 0.447
Pm4 0.302 0.302 0.949
Pm5 0.330 0.973 0.006
Pm6 0.472 0.831 0.495
Pm7 0.528 0.169 0.505
Pm8 0.670 0.027 0.994
Pm9 0.698 0.698 0.051
Pm10 0.797 0.797 0.553
Pm11 0.831 0.472 0.495
Pm12 0.973 0.330 0.006
Nd1 0.000 0.000 0.000
Y1 0.137 0.863 0.500
Y2 0.363 0.637 0.000
Y3 0.500 0.500 0.500
Y4 0.637 0.363 0.000
Y5 0.863 0.137 0.500
```